Below is a geometry-optimized Ta2Pd7Rh structure, with properties calculated at the GGA-PBE level.

Unit cell a=2.766 b=8.769 c=8.769 alpha=122.91 beta=90.00 gamma=90.00
Atoms (fractional coordinates):
Ta 0.500 0.670 0.330
Ta 0.500 0.330 0.670
Pd 0.000 0.815 0.185
Pd 0.000 0.185 0.815
Pd 0.500 0.136 0.328
Pd 0.500 0.864 0.672
Pd 0.500 0.328 0.136
Pd 0.500 0.672 0.864
Pd 0.500 0.500 0.500
Rh 0.000 0.000 0.000

Output
**V**: 17.86 A^3/atom
**Energy**: -65.65 eV/cell
**Spin magnetization**: 0.00 μB/atom